The following is a DFT calculation (PBE) of a geometry-optimized Hf3NiC structure.

## Properties
Symmetry: Cmcm
Calculated volume: 16.152 Å³/atom
Density: 12.46 g/cm3
Crystal system: orthorhombic
VASP energy: -95.45 eV for the cell shown

Cell and atoms, written as POSCAR:
```
Hf3NiC
1.0
2.742 5.109 0.604
-4.912 -3.046 0.757
2.723 -2.406 7.993
Hf C Ni
6 2 2
direct
0.065 0.935 0.250 Hf
0.369 0.631 0.064 Hf
0.935 0.065 0.750 Hf
0.369 0.631 0.436 Hf
0.631 0.369 0.564 Hf
0.631 0.369 0.936 Hf
0.000 0.000 0.000 C
0.000 0.000 0.500 C
0.750 0.250 0.250 Ni
0.250 0.750 0.750 Ni
```